# CsGdNiSe3 PBE relaxed
# Total magnetic moment = 1.73 μB/f.u.
data_CsGdNiSe3
_chemical_formula_sum 'Cs4 Gd4 Ni4 Se12'
_symmetry_space_group_name_H-M 'P 1'
_symmetry_Int_Tables_number 1
_cell_length_a 10.720
_cell_length_b 4.198
_cell_length_c 15.242
_cell_angle_alpha 90.00
_cell_angle_beta 90.00
_cell_angle_gamma 90.00
loop_
_symmetry_equiv_pos_as_xyz
'x,y,z'
loop_
_atom_site_label
_atom_site_type_symbol
_atom_site_fract_x
_atom_site_fract_y
_atom_site_fract_z
_atom_site_occupancy
Cs1 Cs 0.034 0.250 0.161 1
Cs2 Cs 0.466 0.750 0.661 1
Cs3 Cs 0.534 0.250 0.339 1
Cs4 Cs 0.966 0.750 0.839 1
Gd1 Gd 0.149 0.750 0.435 1
Gd2 Gd 0.351 0.250 0.935 1
Gd3 Gd 0.649 0.750 0.065 1
Gd4 Gd 0.851 0.250 0.565 1
Ni1 Ni 0.150 0.250 0.630 1
Ni2 Ni 0.350 0.750 0.130 1
Ni3 Ni 0.650 0.250 0.870 1
Ni4 Ni 0.850 0.750 0.370 1
Se1 Se 0.040 0.750 0.612 1
Se2 Se 0.206 0.750 0.007 1
Se3 Se 0.232 0.250 0.771 1
Se4 Se 0.268 0.750 0.271 1
Se5 Se 0.294 0.250 0.507 1
Se6 Se 0.460 0.250 0.112 1
Se7 Se 0.540 0.750 0.888 1
Se8 Se 0.706 0.750 0.493 1
Se9 Se 0.732 0.250 0.729 1
Se10 Se 0.768 0.750 0.229 1
Se11 Se 0.794 0.250 0.993 1
Se12 Se 0.960 0.250 0.388 1

Below is a relaxed structure of Ba2MgCd7, with properties calculated at the PBE level.

Geometry as CIF:
```
data_Ba2MgCd7
_chemical_formula_sum 'Ba2 Mg1 Cd7'
_symmetry_space_group_name_H-M 'P 1'
_symmetry_Int_Tables_number 1
_cell_length_a 4.709
_cell_length_b 4.709
_cell_length_c 13.024
_cell_angle_alpha 90.00
_cell_angle_beta 90.00
_cell_angle_gamma 90.00
loop_
_symmetry_equiv_pos_as_xyz
'x,y,z'
loop_
_atom_site_label
_atom_site_type_symbol
_atom_site_fract_x
_atom_site_fract_y
_atom_site_fract_z
_atom_site_occupancy
Ba1 Ba 0.000 0.500 0.248 1
Ba2 Ba 0.500 0.000 0.752 1
Mg1 Mg 0.000 0.000 0.500 1
Cd1 Cd 0.000 0.000 0.000 1
Cd2 Cd 0.000 0.500 0.638 1
Cd3 Cd 0.000 0.500 0.862 1
Cd4 Cd 0.500 0.000 0.138 1
Cd5 Cd 0.500 0.000 0.362 1
Cd6 Cd 0.500 0.500 0.000 1
Cd7 Cd 0.500 0.500 0.500 1
```

no.,energy (eV per atom)
1,-4.693
2,-1.434